Record 1
VASP calculation (PBE) on CoMoIr2 after structural relaxation.

Cell lengths 8.957, 2.721, 4.670 Å; angles 90.00, 100.22, 90.00 degrees
Positions (direct):
Co 0.000 0.000 0.000
Co 0.500 0.500 0.000
Mo 0.249 0.000 0.745
Mo 0.749 0.500 0.745
Ir 0.247 0.500 0.232
Ir 0.496 0.000 0.498
Ir 0.747 0.000 0.232
Ir 0.996 0.500 0.498

Its crystal system is monoclinic. The calculation puts the total energy at -0.659 Ry/atom. For the total magnetization, the calculation gives 1.1 μB per formula unit. Its energy above the lowest structure with this stoichiometry is 134 meV/atom. As for the formation energy from the elements: -5 kJ/mol of atoms.



Record 2
VASP calculation (PBE) on GeBi6 after structural relaxation.

Cell lengths 8.788, 8.788, 8.788 Å; angles 90.00, 90.00, 90.00 degrees
Positions (direct):
Ge 0.000 0.000 0.000
Ge 0.500 0.500 0.500
Bi 0.000 0.250 0.500
Bi 0.000 0.500 0.250
Bi 0.000 0.500 0.750
Bi 0.000 0.750 0.500
Bi 0.250 0.000 0.500
Bi 0.250 0.500 0.000
Bi 0.500 0.000 0.250
Bi 0.500 0.000 0.750
Bi 0.500 0.250 0.000
Bi 0.500 0.750 0.000
Bi 0.750 0.000 0.500
Bi 0.750 0.500 0.000

Its crystal system is cubic. The calculation puts the total energy at -0.247 Ry/atom. For the total magnetization, the calculation gives 1.9 μB per formula unit. As for the formation energy from the elements: 60 kJ/mol of atoms.



Record 3
VASP calculation (PBE) on LiInS2Cl after structural relaxation.

Cell lengths 4.338, 4.338, 5.769 Å; angles 90.00, 90.00, 90.00 degrees
Positions (direct):
Li 0.000 0.000 0.000
In 0.500 0.500 0.500
S 0.000 0.500 0.000
S 0.500 0.000 0.000
Cl 0.000 0.000 0.500

Its crystal system is tetragonal. The uncorrected formation energy is -9.06 kJ/mol of atoms. The calculation puts the total energy at -0.224 Ry/atom. For the total magnetization, the calculation gives 0.0 μB per formula unit. Its energy above the lowest structure with this stoichiometry is 249 meV/atom.



Record 4
VASP calculation (PBE) on NaNd5In6 after structural relaxation.

Cell lengths 5.421, 7.774, 8.604 Å; angles 90.00, 108.29, 90.00 degrees
Positions (direct):
Na 0.000 0.000 0.000
Nd 0.000 0.500 0.000
Nd 0.333 0.500 0.665
Nd 0.339 0.000 0.677
Nd 0.661 0.000 0.323
Nd 0.667 0.500 0.335
In 0.164 0.244 0.329
In 0.164 0.756 0.329
In 0.500 0.247 0.000
In 0.500 0.753 0.000
In 0.836 0.244 0.671
In 0.836 0.756 0.671

Its crystal system is monoclinic. The calculation puts the total energy at -0.286 Ry/atom. For the total magnetization, the calculation gives 0.0 μB per formula unit. As for the formation energy from the elements: -41 kJ/mol of atoms.